(1)
The following is a DFT calculation (GGA-PBE) of an optimized crystal structure of SmAgSb.

For the energy relative to the elements, uncorrected, the calculation gives -547 meV/atom. Its density of states at the Fermi level is 4.5 states/eV per cell.

The space group is Immm (No. 71) and the conventional cell measures 3.9653, 5.2189 and 16.0017 Å, with angles of 90.00, 90.00 and 90.00 degrees. The distinct sites, in fractional coordinates, are Sm at (0.0000, 0.0000, 0.1495), Ag at (0.0000, 0.2526, 0.5000) and Sb at (0.0000, 0.0000, 0.3430).

=====

(2)
The following is a DFT calculation (GGA-PBE) of an optimized crystal structure of EuThAlAg.

The calculation puts the formation energy at -0.137 eV per atom. Its density of states at the Fermi level is 23.8 states/eV per cell.

The space group is F-43m (No. 216) and the conventional cell measures 7.5271, 7.5271 and 7.5271 Å, with angles of 90.00, 90.00 and 90.00 degrees. The distinct sites, in fractional coordinates, are Eu at (0.0000, 0.0000, 0.0000), Th at (0.0000, 0.0000, 0.5000), Al at (0.2500, 0.2500, 0.2500) and Ag at (0.2500, 0.2500, 0.7500).